# 1
Computed, not measured: a relaxed Fe2Pd2Rh crystal at the PBE level of DFT.

a b c (Å): 4.5989 4.5989 5.8900
angles (deg): 127.49 127.49 49.67
Last column: nearest neighbours and their distance in Å.
Fractional coordinates of all 5 atoms:
Fe 0.0944 0.0944 0.2961  6 Pd 2.65-2.76, 3 Rh 2.66-2.73, 3 Fe 2.70-2.81
Fe 0.9056 0.9056 0.7039  6 Pd 2.65-2.76, 3 Rh 2.66-2.73, 3 Fe 2.70-2.81
Pd 0.2989 0.2989 0.8891  6 Fe 2.65-2.76, 3 Pd 2.66-2.74, 3 Rh 2.75-2.77
Pd 0.7011 0.7011 0.1109  6 Fe 2.65-2.76, 3 Pd 2.66-2.74, 3 Rh 2.75-2.77
Rh 0.5000 0.5000 0.5000  6 Fe 2.66-2.73, 6 Pd 2.75-2.77

Values from the calculation:
The value obtained for the total energy is -34.80 eV/cell. The value obtained for the relative energy among the computed polymorphs is 0 meV per atom. For the formation energy, the calculation gives -28 meV/atom.

# 2
Computed, not measured: a relaxed Fe3Pd6Rh crystal at the PBE level of DFT.

a b c (Å): 7.2452 4.4389 9.5231
angles (deg): 90.00 109.04 90.00
Last column: nearest neighbours and their distance in Å.
Fractional coordinates of all 20 atoms:
Fe 0.0993 0.2500 0.2375  8 Pd 2.66-2.82, 1 Rh 2.71, 3 Fe 2.72-2.77
Fe 0.2963 0.2500 0.0329  11 Pd 2.69-2.80, 1 Fe 2.77
Fe 0.2989 0.7500 0.3697  9 Pd 2.69-2.80, 1 Rh 2.70, 2 Fe 2.72
Fe 0.7011 0.2500 0.6303  9 Pd 2.69-2.80, 1 Rh 2.70, 2 Fe 2.72
Fe 0.7037 0.7500 0.9671  11 Pd 2.69-2.80, 1 Fe 2.77
Fe 0.9007 0.7500 0.7625  8 Pd 2.66-2.82, 1 Rh 2.71, 3 Fe 2.72-2.77
Pd 0.0939 0.2500 0.7325  5 Pd 2.69-2.80, 4 Fe 2.69-2.76, 3 Rh 2.72-2.74
Pd 0.1002 0.7500 0.0706  5 Pd 2.69-2.75, 7 Fe 2.72-2.82
Pd 0.2950 0.7500 0.8666  4 Fe 2.70-2.80, 7 Pd 2.72-2.79, 1 Rh 2.75
Pd 0.3025 0.2500 0.5318  4 Fe 2.70-2.73, 5 Pd 2.70-2.80, 3 Rh 2.74-2.75
Pd 0.4876 0.2500 0.3273  5 Fe 2.66-2.79, 6 Pd 2.70-2.79, 1 Rh 2.83
Pd 0.4971 0.7500 0.1620  8 Pd 2.72-2.80, 4 Fe 2.72-2.80
Pd 0.5029 0.2500 0.8380  8 Pd 2.72-2.80, 4 Fe 2.72-2.80
Pd 0.5124 0.7500 0.6727  5 Fe 2.66-2.79, 6 Pd 2.70-2.79, 1 Rh 2.83
Pd 0.6975 0.7500 0.4682  4 Fe 2.70-2.73, 5 Pd 2.70-2.80, 3 Rh 2.74-2.75
Pd 0.7050 0.2500 0.1334  4 Fe 2.70-2.80, 7 Pd 2.72-2.79, 1 Rh 2.75
Pd 0.8998 0.2500 0.9294  5 Pd 2.69-2.75, 7 Fe 2.72-2.82
Pd 0.9061 0.7500 0.2675  5 Pd 2.69-2.80, 4 Fe 2.69-2.76, 3 Rh 2.72-2.74
Rh 0.0996 0.7500 0.5655  2 Fe 2.70-2.71, 2 Rh 2.72, 8 Pd 2.72-2.83
Rh 0.9004 0.2500 0.4345  2 Fe 2.70-2.71, 2 Rh 2.72, 8 Pd 2.72-2.83

Values from the calculation:
The value obtained for the total energy is -128.61 eV/cell. For the formation energy, the calculation gives -41 meV/atom.

Which N(E_F) belongs to each record? In order, 3.711; 19.004 states/eV per cell.
Which volume belongs to each record? In order, 14.1; 14.5 Å³/atom.
Which mass density belongs to each record? In order, 10.1; 10.4 Mg/m³.